*a*
The following is a DFT calculation (PBE) of an optimized crystal structure of NaMo.

Cell lengths 13.1849, 13.1849, 3.0893 Å; angles 90.00, 90.00, 90.00 degrees
Last column: nearest neighbours and their distance in Å.
Element x y z (fractional)
1 Na 0.3141 0.4656 0.0000  2 Na 3.09, 4 Mo 3.24-3.30
2 Na 0.4656 0.6859 0.0000  2 Na 3.09, 4 Mo 3.24-3.30
3 Na 0.1859 0.0344 0.5000  2 Na 3.09, 4 Mo 3.24-3.30
4 Mo 0.6934 0.7804 0.0000  2 Mo 2.29
5 Na 0.0344 0.8141 0.5000  2 Na 3.09, 4 Mo 3.24-3.30
6 Mo 0.3066 0.2196 0.0000  2 Mo 2.29
7 Mo 0.8066 0.7196 0.5000  2 Mo 2.29
8 Na 0.6859 0.5344 0.0000  2 Na 3.09, 4 Mo 3.24-3.30
9 Mo 0.7804 0.3066 0.0000  2 Mo 2.29
10 Mo 0.2196 0.6934 0.0000  2 Mo 2.29
11 Mo 0.7196 0.1934 0.5000  2 Mo 2.29
12 Na 0.8141 0.9656 0.5000  2 Na 3.09, 4 Mo 3.24-3.30
13 Mo 0.1934 0.2804 0.5000  2 Mo 2.29
14 Mo 0.2804 0.8066 0.5000  2 Mo 2.29
15 Na 0.5344 0.3141 0.0000  2 Na 3.09, 4 Mo 3.24-3.30
16 Na 0.9656 0.1859 0.5000  2 Na 3.09, 4 Mo 3.24-3.30

Results
Magnetization = 0.00 μB per cell
D(E_F) = 0.491 states/eV per atom
Symmetry = No. 87

---

*b*
The following is a DFT calculation (PBE) of an optimized crystal structure of NaMo.

Cell lengths 3.2638, 10.3160, 9.1920 Å; angles 90.00, 90.00, 90.00 degrees
Last column: nearest neighbours and their distance in Å.
Element x y z (fractional)
1 Na 0.0000 0.6411 0.6762  6 Na 3.24-3.60, 3 Mo 3.29
2 Na 0.5000 0.3589 0.1762  6 Na 3.24-3.60, 3 Mo 3.29
3 Mo 0.0000 0.0848 0.2171  4 Mo 2.47-2.58
4 Mo 0.5000 0.0814 0.0000  4 Mo 2.58
5 Na 0.5000 0.3589 0.8238  6 Na 3.24-3.60, 3 Mo 3.29
6 Mo 0.0000 0.0848 0.7829  4 Mo 2.47-2.58
7 Mo 0.0000 0.9186 0.5000  4 Mo 2.58
8 Mo 0.5000 0.9152 0.2829  4 Mo 2.47-2.58
9 Na 0.0000 0.8031 0.0000  4 Na 3.26-3.41, 8 Mo 3.28-3.53
10 Na 0.5000 0.1969 0.5000  4 Na 3.26-3.41, 8 Mo 3.28-3.53
11 Na 0.0000 0.6411 0.3238  6 Na 3.24-3.60, 3 Mo 3.29
12 Mo 0.5000 0.9152 0.7171  4 Mo 2.47-2.58

Results
Magnetization = 0.00 μB per cell
D(E_F) = 0.843 states/eV per atom
Symmetry = No. 59

---

Stability, highest: *b*

---

*a*
The following is a DFT calculation (PBE) of an optimized crystal structure of NaMo.

Cell lengths 10.5484, 10.5484, 2.5757 Å; angles 90.00, 90.00, 120.00 degrees
Last column: nearest neighbours and their distance in Å.
Element x y z (fractional)
1 Na 0.7011 0.7590 0.7500  2 Na 2.58
2 Mo 0.6146 0.4445 0.2500  4 Mo 2.58-2.64
3 Mo 0.3854 0.5555 0.7500  4 Mo 2.58-2.64
4 Na 0.2410 0.9421 0.7500  2 Na 2.58
5 Na 0.7590 0.0579 0.2500  2 Na 2.58
6 Mo 0.1701 0.6146 0.7500  4 Mo 2.58-2.64
7 Mo 0.8299 0.3854 0.2500  4 Mo 2.58-2.64
8 Na 0.2989 0.2410 0.2500  2 Na 2.58
9 Mo 0.5555 0.1701 0.2500  4 Mo 2.58-2.64
10 Na 0.9421 0.7011 0.2500  2 Na 2.58
11 Mo 0.4445 0.8299 0.7500  4 Mo 2.58-2.64
12 Na 0.0579 0.2989 0.7500  2 Na 2.58

Results
Magnetization = 0.00 μB per cell
D(E_F) = 0.704 states/eV per atom
Symmetry = No. 176

---

*b*
The following is a DFT calculation (PBE) of an optimized crystal structure of NaMo.

Cell lengths 10.6512, 4.2740, 5.5424 Å; angles 90.00, 90.00, 90.00 degrees
Last column: nearest neighbours and their distance in Å.
Element x y z (fractional)
1 Na 0.6748 0.4926 0.5000  2 Na 2.83-2.84, 2 Mo 3.00-3.02
2 Na 0.1748 0.5074 0.0000  2 Na 2.83-2.84, 2 Mo 3.00-3.02
3 Mo 0.8736 0.9957 0.5000  1 Mo 2.38
4 Mo 0.1264 0.9957 0.5000  1 Mo 2.38
5 Mo 0.0000 0.5367 0.5000  2 Mo 2.38
6 Na 0.5000 0.9902 0.5000  4 Na 2.83-2.84, 4 Mo 3.08
7 Na 0.0000 0.0098 0.0000  4 Na 2.83-2.84, 4 Mo 3.08
8 Na 0.8252 0.5074 0.0000  2 Na 2.83-2.84, 2 Mo 3.00-3.02
9 Mo 0.6264 0.0043 0.0000  1 Mo 2.38
10 Mo 0.3736 0.0043 0.0000  1 Mo 2.38
11 Mo 0.5000 0.4633 0.0000  2 Mo 2.38
12 Na 0.3252 0.4926 0.5000  2 Na 2.83-2.84, 2 Mo 3.00-3.02

Results
Magnetization = 0.46 μB per cell
D(E_F) = 1.116 states/eV per atom
Symmetry = No. 59

---

Stability, highest: *a*

---

*a*
The following is a DFT calculation (PBE) of an optimized crystal structure of NaMo.

Cell lengths 5.5244, 5.5244, 6.3364 Å; angles 90.00, 90.00, 120.00 degrees
Last column: nearest neighbours and their distance in Å.
Element x y z (fractional)
1 Na 0.6667 0.3333 0.7500  5 Mo 3.17-3.19
2 Mo 0.3333 0.6667 0.7500  5 Na 3.17-3.19
3 Mo 0.6667 0.3333 0.2500  5 Na 3.17-3.19
4 Na 0.3333 0.6667 0.2500  5 Mo 3.17-3.19

Results
Magnetization = 10.14 μB per cell
D(E_F) = 0.382 states/eV per atom
Symmetry = No. 194

---

*b*
The following is a DFT calculation (PBE) of an optimized crystal structure of NaMo.

Cell lengths 9.0476, 9.0476, 9.0476 Å; angles 90.00, 90.00, 90.00 degrees
Last column: nearest neighbours and their distance in Å.
Element x y z (fractional)
1 Mo 0.0000 0.2500 0.5000  4 Na 3.20
2 Mo 0.7500 0.5000 0.0000  4 Na 3.20
3 Na 0.7500 0.0000 0.5000  4 Mo 3.20
4 Na 0.0000 0.5000 0.2500  4 Mo 3.20
5 Na 0.0000 0.5000 0.7500  4 Mo 3.20
6 Mo 0.2500 0.5000 0.0000  4 Na 3.20
7 Mo 0.5000 0.0000 0.7500  4 Na 3.20
8 Mo 0.0000 0.7500 0.5000  4 Na 3.20
9 Mo 0.5000 0.0000 0.2500  4 Na 3.20
10 Na 0.2500 0.0000 0.5000  4 Mo 3.20
11 Na 0.5000 0.7500 0.0000  4 Mo 3.20
12 Na 0.5000 0.2500 0.0000  4 Mo 3.20

Results
Magnetization = 30.95 μB per cell
D(E_F) = 0.556 states/eV per atom
Symmetry = No. 223

---

Stability, highest: *a*

---

*a*
The following is a DFT calculation (PBE) of an optimized crystal structure of NaMo.

Cell lengths 5.8434, 5.8434, 6.1370 Å; angles 90.00, 90.00, 90.00 degrees
Last column: nearest neighbours and their distance in Å.
Element x y z (fractional)
1 Mo 0.3755 0.3755 0.0000  1 Mo 2.06
2 Na 0.1617 0.8383 0.0000  1 Na 2.67, 2 Mo 2.98
3 Mo 0.8755 0.1245 0.5000  1 Mo 2.06
4 Mo 0.6245 0.6245 0.0000  1 Mo 2.06
5 Na 0.3383 0.3383 0.5000  1 Na 2.67, 2 Mo 2.98
6 Na 0.6617 0.6617 0.5000  1 Na 2.67, 2 Mo 2.98
7 Mo 0.1245 0.8755 0.5000  1 Mo 2.06
8 Na 0.8383 0.1617 0.0000  1 Na 2.67, 2 Mo 2.98

Results
Magnetization = 0.00 μB per cell
D(E_F) = 0.845 states/eV per atom
Symmetry = No. 136

---

*b*
The following is a DFT calculation (PBE) of an optimized crystal structure of NaMo.

Cell lengths 10.7593, 3.2216, 4.8618 Å; angles 90.00, 91.51, 90.00 degrees
Last column: nearest neighbours and their distance in Å.
Element x y z (fractional)
1 Mo 0.0883 0.5000 0.7551  2 Mo 2.49
2 Na 0.6534 0.0000 0.2161  6 Na 2.92-3.22, 2 Mo 3.21
3 Mo 0.9117 0.5000 0.2449  2 Mo 2.49
4 Mo 0.9117 0.0000 0.7449  2 Mo 2.49
5 Na 0.3466 0.5000 0.2839  6 Na 2.92-3.22, 2 Mo 3.21
6 Na 0.6534 0.5000 0.7161  6 Na 2.92-3.22, 2 Mo 3.21
7 Na 0.3466 0.0000 0.7839  6 Na 2.92-3.22, 2 Mo 3.21
8 Mo 0.0883 0.0000 0.2551  2 Mo 2.49

Results
Magnetization = 0.00 μB per cell
D(E_F) = 0.431 states/eV per atom
Symmetry = No. 12

---

Stability, highest: *b*

---

*a*
The following is a DFT calculation (PBE) of an optimized crystal structure of NaMo.

Cell lengths 4.1223, 4.1223, 20.9977 Å; angles 90.00, 90.00, 120.00 degrees
Last column: nearest neighbours and their distance in Å.
Element x y z (fractional)
1 Mo 0.6667 0.3333 0.6669  3 Mo 2.38
2 Na 0.3333 0.6667 0.7748  6 Mo 3.29, 3 Na 3.42
3 Na 0.3333 0.6667 0.5585  6 Mo 3.29, 3 Na 3.42
4 Na 0.0000 0.0000 0.8918  6 Mo 3.29, 3 Na 3.42
5 Na 0.6667 0.3333 0.4415  6 Mo 3.29, 3 Na 3.42
6 Mo 0.0000 0.0000 0.3336  3 Mo 2.38
7 Na 0.0000 0.0000 0.1082  6 Mo 3.29, 3 Na 3.42
8 Mo 0.0000 0.0000 0.6664  3 Mo 2.38
9 Mo 0.3333 0.6667 0.0002  3 Mo 2.38
10 Na 0.6667 0.3333 0.2252  6 Mo 3.29, 3 Na 3.42
11 Mo 0.3333 0.6667 0.3331  3 Mo 2.38
12 Mo 0.6667 0.3333 0.9998  3 Mo 2.38

Results
Magnetization = 0.00 μB per cell
D(E_F) = 0.505 states/eV per atom
Symmetry = No. 166

---

*b*
The following is a DFT calculation (PBE) of an optimized crystal structure of NaMo.

Cell lengths 5.6493, 3.0962, 4.2845 Å; angles 90.00, 90.13, 90.00 degrees
Last column: nearest neighbours and their distance in Å.
Element x y z (fractional)
1 Na 0.5000 0.5000 0.5000  4 Na 2.64
2 Mo 0.0000 0.5000 0.0000  4 Mo 2.64
3 Mo 0.0000 0.0000 0.5000  4 Mo 2.64
4 Na 0.5000 0.0000 0.0000  4 Na 2.64

Results
Magnetization = 0.00 μB per cell
D(E_F) = 0.861 states/eV per atom
Symmetry = No. 12

---

Stability, highest: *b*